Rb2Mn2Be3F12 (GGA+U, relaxed); density of states at the Fermi level = 0.000 states/eV/cell; E_tot = -5.7019 eV per atom
1.0
-3.097 8.703 -4.767
-7.030 1.601 7.489
7.004 5.455 5.409
Be F Rb Mn
12 48 8 8
Direct
0.125 0.983 0.716 Be
0.375 0.017 0.216 Be
0.716 0.125 0.983 Be
0.284 0.625 0.517 Be
0.625 0.517 0.284 Be
0.216 0.375 0.017 Be
0.983 0.716 0.125 Be
0.017 0.216 0.375 Be
0.784 0.875 0.483 Be
0.483 0.784 0.875 Be
0.517 0.284 0.625 Be
0.875 0.483 0.784 Be
0.455 0.192 0.727 F
0.308 0.273 0.955 F
0.342 0.744 0.906 F
0.658 0.244 0.594 F
0.545 0.692 0.773 F
0.065 0.733 0.000 F
0.500 0.435 0.267 F
0.244 0.594 0.658 F
0.011 0.074 0.326 F
0.511 0.426 0.674 F
0.733 0.000 0.065 F
0.000 0.565 0.767 F
0.426 0.674 0.511 F
0.326 0.011 0.074 F
0.906 0.342 0.744 F
0.227 0.045 0.808 F
0.808 0.227 0.045 F
0.435 0.267 0.500 F
0.256 0.406 0.158 F
0.842 0.756 0.094 F
0.158 0.256 0.406 F
0.773 0.545 0.692 F
0.926 0.826 0.489 F
0.767 0.000 0.565 F
0.000 0.065 0.733 F
0.674 0.511 0.426 F
0.045 0.808 0.227 F
0.273 0.955 0.308 F
0.692 0.773 0.545 F
0.744 0.906 0.342 F
0.989 0.574 0.174 F
0.565 0.767 0.000 F
0.174 0.989 0.574 F
0.727 0.455 0.192 F
0.074 0.326 0.011 F
0.267 0.500 0.435 F
0.489 0.926 0.826 F
0.233 0.500 0.935 F
0.955 0.308 0.273 F
0.935 0.233 0.500 F
0.406 0.158 0.256 F
0.826 0.489 0.926 F
0.756 0.094 0.842 F
0.094 0.842 0.756 F
0.574 0.174 0.989 F
0.594 0.658 0.244 F
0.192 0.727 0.455 F
0.500 0.935 0.233 F
0.188 0.312 0.688 Rb
0.312 0.688 0.188 Rb
0.046 0.046 0.046 Rb
0.688 0.188 0.312 Rb
0.954 0.546 0.454 Rb
0.546 0.454 0.954 Rb
0.454 0.954 0.546 Rb
0.812 0.812 0.812 Rb
0.097 0.903 0.403 Mn
0.903 0.403 0.097 Mn
0.667 0.833 0.167 Mn
0.403 0.097 0.903 Mn
0.167 0.667 0.833 Mn
0.833 0.167 0.667 Mn
0.597 0.597 0.597 Mn
0.333 0.333 0.333 Mn